# 1
This record from Alexandria describes crystalline Ag2AuS at its relaxed geometry. The functional is PBE.

- space group = I-42d
- formation energy from raw total energies (eV/atom) = 0.2816

Cell lengths 9.976, 9.976, 9.976 Å; angles 156.83, 156.83, 32.99 degrees
Element x y z (fractional)
Ag1 0.118 0.625 0.993
Ag2 0.375 0.368 0.493
Ag3 0.632 0.125 0.007
Ag4 0.875 0.882 0.507
Au1 0.250 0.750 0.500
Au2 0.500 0.500 0.000
S1 0.000 0.000 0.000
S2 0.750 0.250 0.500



# 2
This record from Alexandria describes crystalline BaSrHg2 at its relaxed geometry. The functional is PBE.

- energy of formation (eV/atom) = -0.527
- space group = Pmmm

Cell lengths 4.079, 4.112, 8.259 Å; angles 90.00, 90.00, 90.00 degrees
Element x y z (fractional)
Ba1 0.000 0.000 0.000
Sr1 0.000 0.000 0.500
Hg1 0.500 0.500 0.265
Hg2 0.500 0.500 0.735



Calculated mass density (g/cm3), listed in the same order as above: 9.62, 7.51